## AcIn2P (PBE)

Data for a relaxed AcIn2P crystal.

Calculated values
* total magnetic moment: 0.00 μB per formula unit
* DOS at the Fermi energy: 2.28 states/eV/cell
* formation energy from the elements: -0.175 eV per atom

a b c (Å): 3.888 3.888 7.095
angles (deg): 90.00 90.00 90.00
Space group P4/mmm (No. 123)
One atom of each set of equivalent atoms:
Ac: 0.000 0.000 0.000
In: 0.500 0.500 0.303
P: 0.000 0.000 0.500

## SrAcCO5 (PBE)

Data for a relaxed SrAcCO5 crystal.

Calculated values
* total magnetic moment: 0.77 μB per formula unit
* energy relative to the elements, uncorrected: -2.06 eV per atom
* DOS at the Fermi energy: 20.98 states/eV/cell

a b c (Å): 6.829 9.332 8.198
angles (deg): 90.00 105.77 90.00
Space group C2/c (No. 15)
One atom of each set of equivalent atoms:
Sr: 0.000 0.143 0.250
Ac: 0.000 0.500 0.000
C: 0.000 0.184 0.750
O: 0.000 0.399 0.250
O: 0.121 0.275 0.679
O: 0.122 0.097 0.880

## Y3ZrBr (PBE)

Data for a relaxed Y3ZrBr crystal.

Calculated values
* total magnetic moment: 0.00 μB per formula unit
* energy relative to the elements, uncorrected: 0.00 eV per atom
* DOS at the Fermi energy: 2.38 states/eV/cell

a b c (Å): 5.342 5.342 5.342
angles (deg): 90.00 90.00 90.00
Space group Pm-3m (No. 221)
One atom of each set of equivalent atoms:
Y: 0.000 0.000 0.500
Zr: 0.500 0.500 0.500
Br: 0.000 0.000 0.000

## Zn4AgW (PBE)

Data for a relaxed Zn4AgW crystal.

Calculated values
* total magnetic moment: 0.01 μB per formula unit
* DOS at the Fermi energy: 16.19 states/eV/cell
* formation energy from the elements: 0.394 eV per atom

a b c (Å): 7.112 7.112 7.112
angles (deg): 90.00 90.00 90.00
Space group F-43m (No. 216)
One atom of each set of equivalent atoms:
Zn: 0.124 0.124 0.376
Ag: 0.000 0.000 0.000
W: 0.250 0.250 0.750

## ScIrPt (PBE)

Data for a relaxed ScIrPt crystal.

Calculated values
* total magnetic moment: 0.00 μB per formula unit
* DOS at the Fermi energy: 7.59 states/eV/cell
* formation energy from the elements: -0.613 eV per atom

a b c (Å): 2.876 3.907 8.816
angles (deg): 90.00 90.00 90.00
Space group Imm2 (No. 44)
One atom of each set of equivalent atoms:
Sc: 0.000 0.000 0.000
Ir: 0.000 0.000 0.340
Pt: 0.000 0.000 0.672

## CaMnSi2 (PBE)

Data for a relaxed CaMnSi2 crystal.

Calculated values
* total magnetic moment: 3.52 μB per formula unit
* energy relative to the elements, uncorrected: 0.14 eV per atom
* DOS at the Fermi energy: 3.89 states/eV/cell

a b c (Å): 5.834 8.268 2.884
angles (deg): 90.00 90.66 90.00
Space group C2/m (No. 12)
One atom of each set of equivalent atoms:
Ca: 0.000 0.000 0.000
Mn: 0.000 0.500 0.000
Si: 0.250 0.250 0.500